No. 1
An optimized crystal structure of PmScGe2, computed with PBE.

Values from the calculation:
The energy relative to the elements is -72.15 kJ per mole of atoms.

a b c (Å): 8.1907 3.9496 11.1359
angles (deg): 90.00 90.00 90.00
Fractional coordinates of all 16 atoms:
Pm 0.1331 0.2500 0.1376
Pm 0.3669 0.7500 0.6376
Pm 0.6331 0.2500 0.3624
Pm 0.8669 0.7500 0.8624
Sc 0.0120 0.7500 0.3924
Sc 0.4880 0.2500 0.8924
Sc 0.5120 0.7500 0.1076
Sc 0.9880 0.2500 0.6076
Ge 0.1580 0.2500 0.8113
Ge 0.2432 0.2500 0.4472
Ge 0.2568 0.7500 0.9472
Ge 0.3420 0.7500 0.3113
Ge 0.6580 0.2500 0.6887
Ge 0.7432 0.2500 0.0528
Ge 0.7568 0.7500 0.5528
Ge 0.8420 0.7500 0.1887

---

No. 2
An optimized crystal structure of Be2TlBr, computed with PBE.

Values from the calculation:
The distance to the lowest polymorph of the same formula comes out at 0.391 eV per atom.

a b c (Å): 4.7688 4.7688 4.2335
angles (deg): 108.87 108.87 101.07
Fractional coordinates of all 4 atoms:
Be 0.0000 0.5000 0.0000
Be 0.5000 0.0000 0.0000
Tl 0.0000 0.0000 0.5000
Br 0.5000 0.5000 0.5000

---

No. 3
An optimized crystal structure of Sc2BeRh2, computed with PBE.

Values from the calculation:
The energy relative to the elements is -63.68 kJ per mole of atoms.

a b c (Å): 6.2255 6.2255 4.1979
angles (deg): 90.00 90.00 90.00
Fractional coordinates of all 10 atoms:
Sc 0.1713 0.3287 0.0000
Sc 0.3287 0.8287 0.0000
Sc 0.6713 0.1713 0.0000
Sc 0.8287 0.6713 0.0000
Be 0.0000 0.0000 0.5000
Be 0.5000 0.5000 0.5000
Rh 0.1505 0.6505 0.5000
Rh 0.3495 0.1505 0.5000
Rh 0.6505 0.8495 0.5000
Rh 0.8495 0.3495 0.5000

---

No. 4
An optimized crystal structure of KMgGaSn2, computed with PBE.

Values from the calculation:
The energy relative to the elements is 16.85 kJ per mole of atoms. The distance to the lowest polymorph of the same formula comes out at 0.355 eV per atom.

a b c (Å): 5.5201 5.5201 5.3923
angles (deg): 90.00 90.00 90.00
Fractional coordinates of all 5 atoms:
K 0.0000 0.0000 0.0000
Mg 0.5000 0.5000 0.5000
Ga 0.5000 0.5000 0.0000
Sn 0.0000 0.5000 0.5000
Sn 0.5000 0.0000 0.5000